# CsMoCl4 (PBE, optimized geometry)
# Energy relative to the elements, uncorrected (kJ/mol of atoms): -111.5
data_CsMoCl4
_space_group_name_H-M_alt 'C 1 2/m 1'
_space_group_IT_number 12
_cell_length_a 17.842
_cell_length_b 7.590
_cell_length_c 6.439
_cell_angle_alpha 90.00
_cell_angle_beta 111.03
_cell_angle_gamma 90.00
loop_
_space_group_symop_operation_xyz
'x,y,z'
'-x,-y,-z'
'-x,y,-z'
'x,-y,z'
'x+1/2,y+1/2,z'
'-x+1/2,-y+1/2,-z'
'-x+1/2,y+1/2,-z'
'x+1/2,-y+1/2,z'
loop_
_atom_site_label
_atom_site_type_symbol
_atom_site_fract_x
_atom_site_fract_y
_atom_site_fract_z
Cs1 Cs 0.188 0.000 0.182
Mo1 Mo 0.074 0.500 0.855
Cl1 Cl 0.000 0.280 0.000
Cl2 Cl 0.117 0.274 0.667
Cl3 Cl 0.188 0.500 0.181